Material: ScAgSe2O8
Method: DFT, GGA-PBE
State: relaxed

```
ScAgSe2O8
1.0
5.104 0.000 0.000
2.552 4.420 0.000
2.552 1.473 7.754
Sc Ag Se O
1 1 2 8
Cartesian
0.000 0.000 0.000
5.104 2.947 3.877
2.552 1.473 1.846
7.656 4.420 5.908
2.552 1.473 3.495
4.129 1.385 1.269
7.656 4.420 4.259
6.944 2.883 1.269
3.264 3.010 6.485
4.239 4.572 1.269
5.969 1.321 6.485
6.079 4.509 6.485
```

Results
The density of states at the Fermi level comes out at 0.000 states/eV/cell. As for the total energy: -5.790 eV/atom. The calculation puts the formation energy from raw total energies at -1.14 eV per atom.



Material: Li3BO
Method: DFT, GGA-PBE
State: relaxed

```
Li3BO
1.0
3.775 0.000 0.000
0.000 3.775 0.000
0.000 0.000 3.775
B O Li
1 1 3
Cartesian
1.887 1.887 1.887
0.000 0.000 0.000
0.000 1.887 0.000
0.000 0.000 1.887
1.887 0.000 0.000
```

Results
The density of states at the Fermi level comes out at 2.244 states/eV/cell. The energy above the most stable polymorph in this dataset comes out at 0 kJ/mol of formula units. As for the total energy: -3.848 eV/atom. The calculation puts the formation energy from raw total energies at -0.37 eV per atom.



Material: FeNi2Pt6
Method: DFT, GGA-PBE
State: relaxed

```
FeNi2Pt6
1.0
2.710 0.000 0.000
1.355 6.366 0.098
1.355 1.256 7.765
Fe Ni Pt
1 2 6
Cartesian
0.000 0.000 0.000
1.355 0.495 2.255
4.065 7.127 5.608
2.710 2.326 0.865
2.710 5.296 6.998
2.710 5.213 4.332
1.355 4.616 1.982
4.065 3.006 5.881
2.710 2.409 3.531
```

Results
The density of states at the Fermi level comes out at 10.048 states/eV/cell. The energy above the most stable polymorph in this dataset comes out at 132 kJ/mol of formula units. As for the total energy: -6.268 eV/atom. Its energy of formation is -0.02 eV/atom.



Material: CuPdS4
Method: DFT, GGA-PBE
State: relaxed

```
CuPdS4
1.0
-10.956 1.170 2.686
-1.184 0.984 -5.252
5.387 -6.369 0.724
Cu Pd S
2 2 8
Cartesian
-3.593 0.597 -0.506
-3.159 -4.812 -1.336
2.102 -2.693 -2.264
-2.784 -2.599 1.705
0.496 -4.336 -2.806
-4.800 0.279 -2.411
-7.249 0.121 0.963
-1.953 -4.495 0.568
-3.979 -2.703 -1.503
-9.594 -0.359 -1.439
-2.774 -1.512 -0.339
2.841 -3.857 -0.403
```

Results
The density of states at the Fermi level comes out at 5.628 states/eV/cell. As for the total energy: -4.451 eV/atom. The calculation puts the formation energy from raw total energies at -0.15 eV per atom.



Material: RhO2F
Method: DFT, GGA-PBE
State: relaxed

```
RhO2F
1.0
0.000 2.588 2.588
2.588 0.000 2.588
2.588 2.588 0.000
Rh O F
1 2 1
Cartesian
2.588 2.588 2.588
1.294 1.294 1.294
3.883 3.883 3.883
0.000 0.000 0.000
```

Results
The density of states at the Fermi level comes out at 2.742 states/eV/cell. As for the total energy: -4.631 eV/atom. The calculation puts the formation energy from raw total energies at 0.15 eV per atom.



Material: SrTcNiSbH
Method: DFT, GGA-PBE
State: relaxed

```
SrTcNiSbH
1.0
6.559 0.000 0.027
0.000 4.267 0.000
-2.808 0.000 6.843
Sr Tc Ni Sb H
2 2 2 2 2
Cartesian
-0.808 0.000 5.675
0.596 2.134 2.254
2.217 0.000 4.251
3.621 2.134 0.830
3.240 0.000 2.002
1.836 2.134 5.423
5.311 0.000 0.188
3.907 2.134 3.610
0.614 0.000 3.593
2.018 2.134 0.172
```

Results
The density of states at the Fermi level comes out at 10.168 states/eV/cell. The energy above the most stable polymorph in this dataset comes out at 0 kJ/mol of formula units. As for the total energy: -5.282 eV/atom.



Material: PmPa2S4
Method: DFT, GGA-PBE
State: relaxed

```
PmPa2S4
1.0
3.804 0.000 0.000
-1.902 6.441 0.000
0.000 0.000 13.330
Pm Pa S
2 4 8
Cartesian
1.902 1.507 9.998
0.000 4.934 3.333
0.000 1.793 5.826
1.902 4.648 12.491
0.000 1.793 0.839
1.902 4.648 7.505
1.902 3.575 1.715
1.902 3.575 4.950
0.000 2.866 11.616
0.000 2.866 8.380
1.902 5.827 9.998
0.000 0.614 3.333
1.902 0.000 0.000
1.902 0.000 6.665
```

Results
The density of states at the Fermi level comes out at 17.654 states/eV/cell. As for the total energy: -7.419 eV/atom. The calculation puts the formation energy from raw total energies at -1.67 eV per atom.



Material: Tb3MgTl3Te8
Method: DFT, GGA-PBE
State: relaxed

```
Tb3MgTl3Te8
1.0
-1.131 -1.783 -8.496
0.693 -6.536 5.788
-8.136 5.034 0.024
Tb Mg Tl Te
3 1 3 8
Cartesian
-4.633 1.625 -4.236
-4.287 -1.643 -1.342
-3.722 -0.751 2.906
-4.068 2.517 0.012
0.000 0.000 0.000
0.347 -3.268 2.894
-0.219 -4.159 -1.354
-2.219 -2.453 0.809
-6.355 -0.832 -3.492
-2.844 -3.400 -3.420
-5.729 0.115 0.736
-3.197 -0.058 -6.380
-5.377 -3.227 3.697
-2.620 0.854 -2.035
-5.954 -4.139 -0.648
```

Results
The density of states at the Fermi level comes out at 10.840 states/eV/cell. As for the total energy: -4.050 eV/atom. The calculation puts the formation energy from raw total energies at -0.87 eV per atom.



Material: PrTh2ScSb5
Method: DFT, GGA-PBE
State: relaxed

```
PrTh2ScSb5
1.0
-0.137 -4.833 -1.312
-0.980 -1.262 4.749
-11.502 0.905 -2.132
Pr Th Sc Sb
1 2 1 5
Cartesian
0.000 0.000 0.000
-3.859 -2.788 1.106
-8.759 -2.402 0.198
-5.751 0.452 -1.066
-6.241 -0.178 1.308
-5.819 -1.964 -1.722
-8.575 0.674 -1.590
-2.927 0.230 -0.543
-0.558 -3.047 1.718
```

Results
The density of states at the Fermi level comes out at 3.230 states/eV/cell. As for the total energy: -5.593 eV/atom. The calculation puts the formation energy from raw total energies at -0.42 eV per atom.



Material: AlCoTe2S
Method: DFT, GGA-PBE
State: relaxed

```
AlCoTe2S
1.0
-3.207 0.693 -3.707
-3.450 -0.477 2.896
0.053 4.874 0.866
S Te Co Al
1 2 1 1
Cartesian
-3.303 2.545 0.028
0.026 2.437 0.433
-1.604 0.347 -1.853
0.000 0.000 0.000
-1.725 -0.239 1.448
```

Results
The density of states at the Fermi level comes out at 4.931 states/eV/cell. As for the total energy: -3.905 eV/atom. The calculation puts the formation energy from raw total energies at 0.35 eV per atom.



Material: YHfHg3
Method: DFT, GGA-PBE
State: relaxed

```
YHfHg3
1.0
5.491 0.000 0.000
0.000 5.491 0.000
0.000 0.000 5.491
Y Hf Hg
1 1 3
Cartesian
0.000 0.000 0.000
2.745 2.745 2.745
0.000 2.745 0.000
0.000 0.000 2.745
2.745 0.000 0.000
```

Results
The density of states at the Fermi level comes out at 5.995 states/eV/cell. The energy above the most stable polymorph in this dataset comes out at 290 kJ/mol of formula units. As for the total energy: -2.427 eV/atom. Its energy of formation is 1.04 eV/atom.



Material: TlAuSe
Method: DFT, GGA-PBE
State: relaxed

```
TlAuSe
1.0
-0.979 0.459 -4.152
-3.403 -2.562 0.520
-9.474 13.336 3.707
Tl Au Se
4 4 4
Cartesian
-7.450 8.428 1.584
-11.134 9.478 0.352
-2.723 1.755 -0.278
-6.407 2.805 -1.510
-11.060 13.038 0.725
-2.796 -1.805 -0.651
-7.535 4.860 1.207
-6.321 6.373 -1.133
-9.527 11.350 2.396
-4.797 4.678 0.535
-4.330 -0.117 -2.321
-9.059 6.555 -0.461
```

Results
The density of states at the Fermi level comes out at 2.492 states/eV/cell. As for the total energy: -3.139 eV/atom. The calculation puts the formation energy from raw total energies at -0.10 eV per atom.



Repeat the tenth record exactly.
Material: AlCoTe2S
Method: DFT, GGA-PBE
State: relaxed

```
AlCoTe2S
1.0
-3.207 0.693 -3.707
-3.450 -0.477 2.896
0.053 4.874 0.866
S Te Co Al
1 2 1 1
Cartesian
-3.303 2.545 0.028
0.026 2.437 0.433
-1.604 0.347 -1.853
0.000 0.000 0.000
-1.725 -0.239 1.448
```

Results
The density of states at the Fermi level comes out at 4.931 states/eV/cell. As for the total energy: -3.905 eV/atom. The calculation puts the formation energy from raw total energies at 0.35 eV per atom.